Record 1
# Zr2FeCo3

A geometry-optimized Zr2FeCo3 structure (GGA-PBEsol, Alexandria via LeMat-Bulk).

Properties
The energy of formation is -341.8 meV per atom. The density of states at the Fermi level is 1.19 states/eV/atom. The total energy is -52.4 eV/f.u.

Cell: 4.781 4.781 4.781 Å, 61.31 61.31 61.31°
Positions (direct):
1 Zr 0.126 0.126 0.126
2 Zr 0.874 0.874 0.874
3 Fe 0.500 0.500 0.500
4 Co 0.000 0.500 0.500
5 Co 0.500 0.000 0.500
6 Co 0.500 0.500 0.000

Record 2
# ZrFe2Co

A geometry-optimized ZrFe2Co structure (GGA-PBEsol, Alexandria via LeMat-Bulk).

Properties
The energy of formation is 68.9 meV per atom. The density of states at the Fermi level is 1.06 states/eV/atom. The total energy is -34.5 eV/f.u.

Cell: 2.742 3.812 5.248 Å, 90.00 104.25 90.00°
Positions (direct):
1 Zr 0.000 0.000 0.000
2 Fe 0.000 0.000 0.499
3 Fe 0.428 0.500 0.705
4 Co 0.560 0.500 0.284